(1)
VAgN2, relaxed, DFT PBE; crystal system = cubic; SG = Fm-3m, No. 225; spin magnetization = 0.09 μB per formula unit; excess energy over the best structure of this formula in the dataset = 1251.1 meV/atom; E_form (uncorrected) = 1.029 eV per atom
1.0
0.4948 -3.3798 1.8054
-1.7507 -0.6588 3.3806
-2.9165 -2.5257 0.2052
Ag N V
1 2 1
direct
0.5000 0.5000 0.5000
0.7500 0.7500 0.7500
0.2500 0.2500 0.2500
0.0000 0.0000 0.0000



(2)
VAg2N, relaxed, DFT PBE; crystal system = tetragonal; SG = I-42d, No. 122; spin magnetization = 1.98 μB per formula unit; E_form (uncorrected) = 0.458 eV per atom
1.0
-8.3863 -1.4279 0.3078
1.3863 -8.3456 -0.9455
-3.3983 -5.0815 1.5495
N V Ag
2 2 4
direct
0.5000 0.5000 0.0000
0.2500 0.7500 0.5000
0.0000 0.0000 0.0000
0.7500 0.2500 0.5000
0.5051 0.1250 0.2500
0.2449 0.6250 0.2500
0.3750 0.4949 0.7500
0.8750 0.7551 0.7500



(3)
V2AgN3, relaxed, DFT PBE; crystal system = trigonal; SG = P3_121, No. 152; spin magnetization = 0.00 μB per formula unit; E_form (uncorrected) = -0.476 eV per atom
1.0
1.4748 -2.5544 0.0000
1.4748 2.5544 0.0000
0.0000 0.0000 26.2170
N V Ag
9 6 3
direct
0.6445 0.6344 0.9182
0.9899 0.3555 0.5849
0.6729 0.6729 0.5000
0.0000 0.3271 0.1667
0.3656 0.0101 0.2515
0.3271 0.0000 0.8333
0.3555 0.9899 0.4151
0.6344 0.6445 0.0818
0.0101 0.3656 0.7485
0.0554 0.2894 0.4528
0.9446 0.2340 0.8805
0.7106 0.7660 0.7862
0.2340 0.9446 0.1195
0.7660 0.7106 0.2138
0.2894 0.0554 0.5472
0.6376 0.6376 0.0000
0.0000 0.3624 0.6667
0.3624 0.0000 0.3333